Entry 1:
A plane-wave DFT calculation with GGA-PBE was carried out for InTcSeBr2 after structural relaxation.

## Properties
* ΔE_f (raw): 637 meV/atom
* SG: No. 123
* polymorph energy (0 for the lowest one): 708 meV/atom
* E: -16.75 eV/f.u.
* size of the total moment: 4.97 μB per cell

Unit cell a=5.3648 b=5.3648 c=5.3863 alpha=90.00 beta=90.00 gamma=90.00
Fractional coordinates of all 5 atoms:
In: 0.0000 0.0000 0.0000
Tc: 0.5000 0.5000 0.5000
Se: 0.0000 0.0000 0.5000
Br: 0.0000 0.5000 0.0000
Br: 0.5000 0.0000 0.0000


Entry 2:
A plane-wave DFT calculation with GGA-PBE was carried out for BaGdZn after structural relaxation.

## Properties
* formation enthalpy at 0 K: -0.0986 eV/atom
* SG: No. 107
* E: -17.57 eV/f.u.
* size of the total moment: 15.16 μB per cell

Unit cell a=3.8608 b=3.8608 c=13.6231 alpha=90.00 beta=90.00 gamma=90.00
Fractional coordinates of all 6 atoms:
Ba: 0.0000 0.0000 0.0000
Ba: 0.5000 0.5000 0.5000
Gd: 0.0000 0.0000 0.2680
Gd: 0.5000 0.5000 0.7680
Zn: 0.0000 0.0000 0.6688
Zn: 0.5000 0.5000 0.1688


Entry 3:
A plane-wave DFT calculation with GGA-PBE was carried out for AcZn4Ge2 after structural relaxation.

## Properties
* formation enthalpy at 0 K: -0.2792 eV/atom
* SG: No. 65
* polymorph energy (0 for the lowest one): 0 meV/atom
* E: -20.39 eV/f.u.
* size of the total moment: 0.00 μB per cell

Unit cell a=4.2777 b=15.1173 c=4.2268 alpha=90.00 beta=90.00 gamma=90.00
Fractional coordinates of all 14 atoms:
Ac: 0.0000 0.0000 0.0000
Ac: 0.5000 0.5000 0.0000
Zn: 0.0000 0.1896 0.5000
Zn: 0.0000 0.3042 0.0000
Zn: 0.0000 0.6958 0.0000
Zn: 0.0000 0.8104 0.5000
Zn: 0.5000 0.1958 0.0000
Zn: 0.5000 0.3104 0.5000
Zn: 0.5000 0.6896 0.5000
Zn: 0.5000 0.8042 0.0000
Ge: 0.0000 0.4088 0.5000
Ge: 0.0000 0.5912 0.5000
Ge: 0.5000 0.0912 0.5000
Ge: 0.5000 0.9088 0.5000


Entry 4:
A plane-wave DFT calculation with GGA-PBE was carried out for Cs3PmPr2S6 after structural relaxation.

## Properties
* ΔE_f (raw): -1808 meV/atom
* SG: No. 12
* E: -63.33 eV/f.u.
* size of the total moment: 0.00 μB per cell

Unit cell a=7.3847 b=7.3847 c=8.4694 alpha=98.36 beta=98.36 gamma=120.00
Fractional coordinates of all 12 atoms:
Cs: 0.0000 0.0000 0.0000
Cs: 0.3329 0.6671 0.0000
Cs: 0.6671 0.3329 0.0000
Pm: 0.5000 0.5000 0.5000
Pr: 0.1666 0.8334 0.5000
Pr: 0.8334 0.1666 0.5000
S: 0.1080 0.4377 0.3132
S: 0.2326 0.2326 0.6870
S: 0.4377 0.1080 0.3132
S: 0.5623 0.8920 0.6868
S: 0.7674 0.7674 0.3130
S: 0.8920 0.5623 0.6868


Entry 5:
A plane-wave DFT calculation with GGA-PBE was carried out for BaCa2F8 after structural relaxation.

## Properties
* ΔE_f (raw): -3064 meV/atom
* SG: No. 164
* E: -54.60 eV/f.u.
* size of the total moment: 2.01 μB per cell

Unit cell a=4.8506 b=4.8506 c=7.6297 alpha=90.00 beta=90.00 gamma=120.00
Fractional coordinates of all 11 atoms:
Ba: 0.0000 0.0000 0.0000
Ca: 0.3333 0.6667 0.6305
Ca: 0.6667 0.3333 0.3695
F: 0.1690 0.3380 0.3417
F: 0.1690 0.8310 0.3417
F: 0.3333 0.6667 0.9169
F: 0.3380 0.1690 0.6583
F: 0.6620 0.8310 0.3417
F: 0.6667 0.3333 0.0831
F: 0.8310 0.1690 0.6583
F: 0.8310 0.6620 0.6583


Entry 6:
A plane-wave DFT calculation with GGA-PBE was carried out for CuTe after structural relaxation.

## Properties
* ΔE_f (raw): 14 meV/atom
* SG: No. 8
* E: -7.21 eV/f.u.
* size of the total moment: 0.00 μB per cell

Unit cell a=11.8395 b=4.1287 c=6.8197 alpha=90.00 beta=103.11 gamma=90.00
Fractional coordinates of all 12 atoms:
Cu: 0.0000 0.0000 0.0000
Cu: 0.0204 0.5000 0.7867
Cu: 0.4390 0.5000 0.5951
Cu: 0.5000 0.5000 0.0000
Cu: 0.5204 0.0000 0.7867
Cu: 0.9390 0.0000 0.5951
Te: 0.0041 0.5000 0.2109
Te: 0.1570 0.0000 0.7909
Te: 0.3255 0.0000 0.4384
Te: 0.5041 0.0000 0.2109
Te: 0.6570 0.5000 0.7909
Te: 0.8255 0.5000 0.4384